First-principles (PBE-GGA) data for KNiPb2 after structural relaxation, as listed in the Alexandria database.

Results
As for the magnetization: 0.000 μB per cell. The formation energy is -21 meV/atom. As for the density of states at the Fermi level: 6.0 states/eV/cell. Its total energy is -43.144 eV/cell.

a b c (Å): 4.4029 4.4029 21.8043
angles (deg): 90.00 90.00 120.00
Closest atoms and distances in Å follow each position.
Space group R3m (No. 160, hexagonal axes)
Unique sites:
K (0.0000, 0.0000, 0.0000) [3 per cell]  6 Pb 3.62-3.66, 1 Ni 3.72
Ni (0.0000, 0.0000, 0.8292) [3 per cell]  6 Pb 2.72-2.77
Pb (0.0000, 0.0000, 0.2127) [3 per cell]  3 Ni 2.77
Pb (0.0000, 0.0000, 0.4518) [3 per cell]  3 Ni 2.72

=====

First-principles (PBE-GGA) data for BaPaTl2O8 after structural relaxation, as listed in the Alexandria database.

Results
As for the magnetization: 5.396 μB per cell. As for the density of states at the Fermi level: 21.8 states/eV/cell. Its total energy is -146.504 eV/cell.

a b c (Å): 7.3922 7.3922 7.8390
angles (deg): 90.00 90.00 90.00
Closest atoms and distances in Å follow each position.
Space group I-4m2 (No. 119)
Unique sites:
Ba (0.0000, 0.0000, 0.0000) [2 per cell]  8 O 2.59-2.82
Pa (0.0000, 0.5000, 0.2500) [2 per cell]  8 O 2.19-2.38
Tl (0.0000, 0.0000, 0.5000) [2 per cell]  4 O 2.19
Tl (0.0000, 0.5000, 0.7500) [2 per cell]  4 O 2.13
O (0.0000, 0.2081, 0.3010) [8 per cell]  1 Tl 2.19, 1 Pa 2.19
O (0.0000, 0.3504, 0.9815) [8 per cell]  1 Tl 2.13, 1 O 2.21, 1 Pa 2.38

=====

First-principles (PBE-GGA) data for MnCrP after structural relaxation, as listed in the Alexandria database.

Results
As for the magnetization: 0.000 μB per cell. The formation energy is -282 meV/atom. As for the density of states at the Fermi level: 3.9 states/eV/cell. Its total energy is -50.098 eV/cell.

a b c (Å): 2.6864 3.8803 6.4166
angles (deg): 89.89 89.89 90.00
Closest atoms and distances in Å follow each position.
Space group P-1 (No. 2)
Unique sites:
Mn (0.2505, 0.2500, 0.0604) [2 per cell]  4 P 2.28-2.39, 4 Mn 2.48-2.49
Cr (0.2504, 0.7497, 0.6006) [2 per cell]  1 P 2.26
P (0.2480, 0.7500, 0.2481) [2 per cell]  1 Cr 2.26, 4 Mn 2.28-2.39

=====

First-principles (PBE-GGA) data for NdHoGa4 after structural relaxation, as listed in the Alexandria database.

Results
As for the magnetization: 0.000 μB per cell. The formation energy is -646 meV/atom. The value obtained for the energy relative to the lowest polymorph listed for this composition is 14 meV per atom. As for the density of states at the Fermi level: 6.5 states/eV/cell. Its total energy is -50.659 eV/cell.

a b c (Å): 4.2121 4.2121 14.7796
angles (deg): 90.00 90.00 90.00
Closest atoms and distances in Å follow each position.
Space group I-4m2 (No. 119)
Unique sites:
Nd (0.0000, 0.0000, 0.0000) [2 per cell]  12 Ga 3.23-3.26
Ho (0.0000, 0.5000, 0.2500) [2 per cell]  12 Ga 3.22-3.23
Ga (0.0000, 0.0000, 0.4160) [4 per cell]  3 Ga 2.45-2.48
Ga (0.0000, 0.5000, 0.6681) [4 per cell]  3 Ga 2.42-2.45

=====

First-principles (PBE-GGA) data for Ba3GaRe after structural relaxation, as listed in the Alexandria database.

Results
As for the magnetization: 0.000 μB per cell. The formation energy is 691 meV/atom. The value obtained for the energy relative to the lowest polymorph listed for this composition is 0 meV per atom. As for the density of states at the Fermi level: 6.1 states/eV/cell. Its total energy is -17.787 eV/cell.

a b c (Å): 5.9453 5.9453 5.9453
angles (deg): 90.00 90.00 90.00
Closest atoms and distances in Å follow each position.
Space group Pm-3m (No. 221)
Unique sites:
Ba (0.0000, 0.0000, 0.5000) [3 per cell]  2 Re 2.97
Ga (0.5000, 0.5000, 0.5000) [1 per cell]  12 Ba 4.20
Re (0.0000, 0.0000, 0.0000) [1 per cell]  6 Ba 2.97

=====

First-principles (PBE-GGA) data for Tl2Fe3Cl9 after structural relaxation, as listed in the Alexandria database.

Results
As for the magnetization: 52.000 μB per cell. As for the density of states at the Fermi level: 46.9 states/eV/cell. Its total energy is -230.682 eV/cell.

a b c (Å): 11.3994 16.0533 10.1532
angles (deg): 90.00 119.08 90.00
Closest atoms and distances in Å follow each position.
Space group C2/m (No. 12)
Unique sites:
Tl (0.0667, 0.1634, 0.2999) [8 per cell]  6 Cl 3.18-3.39
Fe (0.1421, 0.5000, 0.8305) [4 per cell]  5 Cl 2.24-2.43
Fe (0.1742, 0.3786, 0.1919) [8 per cell]  5 Cl 2.30-2.49
Cl (0.0000, 0.2854, 0.0000) [4 per cell]  2 Fe 2.49
Cl (0.0306, 0.3970, 0.2947) [8 per cell]  2 Fe 2.35-2.41
Cl (0.1862, 0.2228, 0.6498) [8 per cell]  1 Fe 2.30
Cl (0.1960, 0.0000, 0.6685) [4 per cell]  2 Fe 2.44
Cl (0.2344, 0.0000, 0.2862) [4 per cell]  1 Fe 2.24
Cl (0.2405, 0.1043, 0.9766) [8 per cell]  2 Fe 2.36-2.43

=====

First-principles (PBE-GGA) data for PaSbN2 after structural relaxation, as listed in the Alexandria database.

Results
As for the magnetization: 0.000 μB per cell. As for the density of states at the Fermi level: 1.2 states/eV/cell. Its total energy is -101.747 eV/cell.

a b c (Å): 3.6179 3.6179 19.9726
angles (deg): 90.00 90.00 120.00
Closest atoms and distances in Å follow each position.
Space group R-3m (No. 166, hexagonal axes)
Unique sites:
Pa (0.0000, 0.0000, 0.0000) [3 per cell]  6 N 2.30
Sb (0.0000, 0.0000, 0.5000) [3 per cell]  2 N 2.37
N (0.0000, 0.0000, 0.3815) [6 per cell]  3 Pa 2.30, 1 Sb 2.37

=====

First-principles (PBE-GGA) data for Sr2CeInO6 after structural relaxation, as listed in the Alexandria database.

Results
As for the magnetization: 1.950 μB per cell. As for the density of states at the Fermi level: 15.3 states/eV/cell. Its total energy is -133.346 eV/cell.

a b c (Å): 5.9637 6.0896 10.3256
angles (deg): 90.00 124.84 90.00
Closest atoms and distances in Å follow each position.
Space group P2_1/c (No. 14)
Unique sites:
Sr (0.2351, 0.0461, 0.2486) [4 per cell]  6 O 2.53-2.82
Ce (0.5000, 0.0000, 0.0000) [2 per cell]  6 O 2.22
In (0.0000, 0.0000, 0.5000) [2 per cell]  6 O 2.19
O (0.1532, 0.2086, 0.9501) [4 per cell]  1 In 2.19, 1 Ce 2.22
O (0.2389, 0.7066, 0.9475) [4 per cell]  1 In 2.19, 1 Ce 2.22
O (0.3448, 0.0357, 0.7478) [4 per cell]  1 In 2.19, 1 Ce 2.22

=====

First-principles (PBE-GGA) data for Pm3Tm3Tl2 after structural relaxation, as listed in the Alexandria database.

Results
As for the magnetization: 0.248 μB per cell. The formation energy is -180 meV/atom. The value obtained for the energy relative to the lowest polymorph listed for this composition is 0 meV per atom. As for the density of states at the Fermi level: 12.0 states/eV/cell. Its total energy is -33.835 eV/cell.

a b c (Å): 4.8395 4.8611 9.8739
angles (deg): 90.00 90.00 90.00
Closest atoms and distances in Å follow each position.
Space group Pmmm (No. 47)
Unique sites:
Pm (0.0000, 0.0000, 0.0000) [1 per cell]  4 Pm 3.43, 4 Tm 3.47, 4 Tl 3.49
Pm (0.0000, 0.0000, 0.5000) [1 per cell]  8 Tm 3.43-3.44, 4 Tl 3.44
Pm (0.5000, 0.5000, 0.0000) [1 per cell]  4 Pm 3.43, 4 Tm 3.48, 4 Tl 3.48
Tm (0.5000, 0.0000, 0.2524) [2 per cell]  4 Tl 3.43, 6 Pm 3.44-3.48, 2 Tm 3.45
Tm (0.5000, 0.5000, 0.5000) [1 per cell]  4 Pm 3.43, 4 Tl 3.43, 4 Tm 3.45
Tl (0.0000, 0.5000, 0.2538) [2 per cell]  6 Tm 3.43, 6 Pm 3.44-3.49

=====

First-principles (PBE-GGA) data for TlPtOF2 after structural relaxation, as listed in the Alexandria database.

Results
As for the magnetization: 1.124 μB per cell. The value obtained for the energy relative to the lowest polymorph listed for this composition is 773 meV per atom. As for the density of states at the Fermi level: 4.3 states/eV/cell. Its total energy is -17.982 eV/cell.

a b c (Å): 4.4235 4.4235 4.2897
angles (deg): 90.00 90.00 90.00
Closest atoms and distances in Å follow each position.
Space group P4/mmm (No. 123)
Unique sites:
Tl (0.0000, 0.0000, 0.0000) [1 per cell]  2 O 2.14, 4 F 2.21
Pt (0.5000, 0.5000, 0.5000) [1 per cell]  8 F 3.08, 4 O 3.13
O (0.0000, 0.0000, 0.5000) [1 per cell]  2 Tl 2.14
F (0.0000, 0.5000, 0.0000) [2 per cell]  2 Tl 2.21